Tl5In5Pb2 | PBE-GGA | optimized geometry

a = 5.438 Å, b = 6.681 Å, c = 11.178 Å
α = 75.25°, β = 75.92°, γ = 65.99°
Sites, in units of the cell vectors:
Pb  0.093  0.558  0.256
In  0.755  0.247  0.244
Tl  0.500  0.500  0.500
Tl  0.594  0.070  0.741
Pb  0.907  0.442  0.744
Tl  0.406  0.930  0.259
Tl  0.343  0.324  0.991
In  0.245  0.753  0.756
In  0.832  0.848  0.487
In  0.000  0.000  0.000
Tl  0.657  0.676  0.009
In  0.168  0.152  0.513

Output
For the energy of formation from the pure elements, the calculation gives 18 meV/atom. The calculation puts the uncorrected energy at -2.73 eV per atom. The calculation puts the density of states at the Fermi level at 0.3397 states/eV/atom. For the theoretical density, the calculation gives 9.425 g/cm3. The value obtained for the magnetization is 0.000 μB/atom.

TlAg5Au8 | PBE-GGA | optimized geometry

a = 7.183 Å, b = 7.183 Å, c = 7.183 Å
α = 113.40°, β = 101.87°, γ = 113.40°
Sites, in units of the cell vectors:
Ag  0.069  0.353  0.142
Ag  0.858  0.927  0.211
Au  0.611  0.946  0.863
Au  0.335  0.252  0.389
Tl  0.250  0.500  0.750
Ag  0.500  0.000  0.500
Ag  0.789  0.647  0.716
Au  0.137  0.748  0.083
Au  0.053  0.737  0.457
Au  0.720  0.263  0.315
Au  0.917  0.054  0.665
Ag  0.284  0.073  0.931
Au  0.685  0.405  0.947
Au  0.543  0.595  0.280

Output
For the energy of formation from the pure elements, the calculation gives 79 meV/atom. The calculation puts the uncorrected energy at -2.98 eV per atom. The calculation puts the density of states at the Fermi level at 0.3220 states/eV/atom. For the theoretical density, the calculation gives 13.675 g/cm3. The value obtained for the magnetization is 0.000 μB/atom.

NiWAu | PBE-GGA | optimized geometry

a = 4.379 Å, b = 4.379 Å, c = 2.666 Å
α = 90.00°, β = 90.00°, γ = 120.00°
Sites, in units of the cell vectors:
Au  0.000  0.000  0.166
Ni  0.333  0.667  0.168
W  0.667  0.333  0.666

Output
The calculation puts the energy above the most stable polymorph in this dataset at 4.416 kcal/mol of atoms. For the energy of formation from the pure elements, the calculation gives 241 meV/atom. The calculation puts the uncorrected energy at -7.10 eV per atom. The calculation puts the density of states at the Fermi level at 0.5060 states/eV/atom. For the theoretical density, the calculation gives 16.482 g/cm3. The value obtained for the magnetization is 0.000 μB/atom.

Repeat the third record exactly.
NiWAu | PBE-GGA | optimized geometry

a = 4.379 Å, b = 4.379 Å, c = 2.666 Å
α = 90.00°, β = 90.00°, γ = 120.00°
Sites, in units of the cell vectors:
Au  0.000  0.000  0.166
Ni  0.333  0.667  0.168
W  0.667  0.333  0.666

Output
The calculation puts the energy above the most stable polymorph in this dataset at 4.416 kcal/mol of atoms. For the energy of formation from the pure elements, the calculation gives 241 meV/atom. The calculation puts the uncorrected energy at -7.10 eV per atom. The calculation puts the density of states at the Fermi level at 0.5060 states/eV/atom. For the theoretical density, the calculation gives 16.482 g/cm3. The value obtained for the magnetization is 0.000 μB/atom.